# 1
Ce5Tl4Sn | GGA-PBE | relaxed

- Space group: P4/mmm (123)
- Total energy: -0.16918 hartree per atom
- Energy of formation from the pure elements: -0.29 eV/atom

a = 4.1468 Å, b = 4.1468 Å, c = 16.7648 Å
α = 90.00°, β = 90.00°, γ = 90.00°
Sites, in units of the cell vectors:
Ce 0.5000 0.5000 0.7025
Ce 0.5000 0.5000 0.0893
Ce 0.5000 0.5000 0.9107
Ce 0.5000 0.5000 0.5000
Ce 0.5000 0.5000 0.2975
Tl 0.0000 0.0000 0.6003
Tl 0.0000 0.0000 0.1958
Tl 0.0000 0.0000 0.8042
Tl 0.0000 0.0000 0.3997
Sn 0.0000 0.0000 0.0000


# 2
CeTmNi | GGA-PBE | relaxed

- Space group: I4mm (107)
- Total energy: -0.20502 hartree per atom
- Energy of formation from the pure elements: -0.18 eV/atom
- Relative energy among the computed polymorphs: 86 meV/atom

a = 3.3752 Å, b = 3.3752 Å, c = 6.5650 Å
α = 104.90°, β = 104.90°, γ = 90.00°
Sites, in units of the cell vectors:
Ce 0.3033 0.3033 0.6067
Tm 0.0337 0.0337 0.0673
Ni 0.6630 0.6630 0.3260


# 3
Sc2TaTc | GGA-PBE | relaxed

- Space group: Pmmm (47)
- Total energy: -0.31947 hartree per atom
- Energy of formation from the pure elements: 0.03 eV/atom
- Relative energy among the computed polymorphs: 211 meV/atom

a = 3.4021 Å, b = 4.5762 Å, c = 4.7422 Å
α = 90.00°, β = 90.00°, γ = 90.00°
Sites, in units of the cell vectors:
Sc 0.5000 0.5000 0.0000
Sc 0.0000 0.0000 0.0000
Tc 0.0000 0.5000 0.5000
Ta 0.5000 0.0000 0.5000


# 4
Ac4Y2Ho | GGA-PBE | relaxed

- Space group: Cc (9)
- Total energy: -0.17471 hartree per atom
- Energy of formation from the pure elements: 0.09 eV/atom

a = 7.1922 Å, b = 7.1922 Å, c = 13.1733 Å
α = 97.01°, β = 97.01°, γ = 123.57°
Sites, in units of the cell vectors:
Y 0.0786 0.7057 0.5681
Y 0.4706 0.1013 0.4320
Y 0.7057 0.0786 0.0681
Y 0.1013 0.4706 0.9320
Ac 0.9674 0.1400 0.3619
Ac 0.3476 0.6289 0.2104
Ac 0.0453 0.2096 0.6399
Ac 0.8304 0.5548 0.2895
Ac 0.2096 0.0453 0.1399
Ac 0.6289 0.3476 0.7104
Ac 0.1400 0.9674 0.8619
Ac 0.5548 0.8304 0.7895
Ho 0.5331 0.6478 0.4997
Ho 0.6478 0.5331 0.9997


# 5
Re4Ir | GGA-PBE | relaxed

- Space group: I4/mmm (139)
- Total energy: -0.40200 hartree per atom
- Energy of formation from the pure elements: 0.79 eV/atom
- Relative energy among the computed polymorphs: 820 meV/atom

a = 6.3780 Å, b = 6.3780 Å, c = 6.3780 Å
α = 144.76°, β = 144.76°, γ = 50.69°
Sites, in units of the cell vectors:
Re 0.7500 0.2500 0.5000
Re 0.3936 0.3936 0.0000
Re 0.6064 0.6064 0.0000
Re 0.2500 0.7500 0.5000
Ir 0.0000 0.0000 0.0000


# 6
TiV2PtN | GGA-PBE | relaxed

- Space group: P4/mmm (123)
- Total energy: -0.33211 hartree per atom
- Uncorrected formation energy: -0.938 eV per atom

a = 3.9139 Å, b = 3.9139 Å, c = 4.1510 Å
α = 90.00°, β = 90.00°, γ = 90.00°
Sites, in units of the cell vectors:
N 0.0000 0.0000 0.0000
Ti 0.0000 0.0000 0.5000
V 0.0000 0.5000 0.0000
V 0.5000 0.0000 0.0000
Pt 0.5000 0.5000 0.5000


What density of states at the Fermi level values result from the calculations? In sequence: 3.2079 1.9140 1.0155 1.6088 1.2092 0.7492 states/eV/atom.
What mass density values result from the calculations? In sequence: 9.43 8.76 8.30 7.57 18.11 9.37 Mg/m³.